CaYIr after structural relaxation, computed with GGA-PBEsol.

POSCAR file:
```
CaYIr
1.0
0.0000 3.3596 3.3596
3.3596 0.0000 3.3596
3.3596 3.3596 0.0000
Ca Y Ir
1 1 1
Direct
0.0000 0.0000 0.0000
0.5000 0.5000 0.5000
0.7500 0.7500 0.7500
```

- Raw total energy: -6.704 eV/atom
- M_tot: 0.000 μB per atom
- Density of states at the Fermi level: 0.425 states/eV per cell
- E above lowest polymorph: 0 meV/atom
- E_form: -10.2 kcal/mol of atoms